VASP calculation (GGA-PBE) on a geometry-optimized CsAg3GeS4 structure.

Cell lengths 6.4791, 6.4791, 6.4791 Å; angles 90.00, 90.00, 90.00 degrees
Fractional positions:
S 0.6998 0.3002 0.6998
S 0.3002 0.3002 0.3002
S 0.3002 0.6998 0.6998
S 0.6998 0.6998 0.3002
Ag 0.0000 0.5000 0.5000
Ag 0.5000 0.5000 0.0000
Ag 0.5000 0.0000 0.5000
Cs 0.0000 0.0000 0.0000
Ge 0.5000 0.5000 0.5000

Properties
Relative energy among the computed polymorphs = 4.1 kJ per mole of atoms